Entry 1:
IrRhAu2 | PBE | optimized geometry

It has space group Immm (No. 71), with a = 2.7854 Å, b = 4.8492 Å, c = 9.6883 Å, α = 90.00°, β = 90.00° and γ = 90.00°. The asymmetric unit holds Ir at (0.0000, 0.0000, 0.0000), Rh at (0.0000, 0.0000, 0.5000) and Au at (0.0000, 0.5000, 0.2513).

The formation energy from the elements comes out at 35.2 kJ/mol of atoms. Its density of states at the Fermi level is 12.25 states/eV/cell. As for the energy above the most stable polymorph in this dataset: 223 meV per atom. The value obtained for the total DFT energy (no corrections) is -5.327 eV per atom.

=====

Entry 2:
ZnRhO2F | PBE | optimized geometry

It has space group P4/mmm (No. 123), with a = 3.9203 Å, b = 3.9203 Å, c = 4.1235 Å, α = 90.00°, β = 90.00° and γ = 90.00°. The asymmetric unit holds Zn at (0.0000, 0.0000, 0.0000), Rh at (0.5000, 0.5000, 0.5000), O at (0.0000, 0.5000, 0.5000) and F at (0.5000, 0.5000, 0.0000).

The energy relative to the elements, uncorrected comes out at -0.504 eV/atom. Its density of states at the Fermi level is 3.98 states/eV/cell. The value obtained for the total DFT energy (no corrections) is -4.587 eV per atom.

=====

Entry 3:
ErSc2Hg | PBE | optimized geometry

It has space group P4/mmm (No. 123), with a = 4.5617 Å, b = 4.5617 Å, c = 4.5997 Å, α = 90.00°, β = 90.00° and γ = 90.00°. The asymmetric unit holds Er at (0.0000, 0.0000, 0.0000), Sc at (0.0000, 0.5000, 0.5000) and Hg at (0.5000, 0.5000, 0.0000).

The formation energy from the elements comes out at -17.8 kJ/mol of atoms. Its density of states at the Fermi level is 4.70 states/eV/cell. As for the energy above the most stable polymorph in this dataset: 4 meV per atom. The value obtained for the total DFT energy (no corrections) is -4.566 eV per atom.

=====

Entry 4:
TbHo2Pt | PBE | optimized geometry

It has space group Cmcm (No. 63), with a = 3.7857 Å, b = 12.1524 Å, c = 9.3411 Å, α = 90.00°, β = 90.00° and γ = 90.00°. The asymmetric unit holds Tb at (0.0000, 0.0682, 0.2500), Ho at (0.0000, 0.3628, 0.0633) and Pt at (0.0000, 0.2402, 0.7500).

The formation energy from the elements comes out at -66.0 kJ/mol of atoms. Its density of states at the Fermi level is 19.82 states/eV/cell. As for the energy above the most stable polymorph in this dataset: 38 meV per atom. The value obtained for the total DFT energy (no corrections) is -5.641 eV per atom.

=====

Entry 5:
La2CeSm | PBE | optimized geometry

It has space group P4/mmm (No. 123), with a = 5.1579 Å, b = 5.1579 Å, c = 5.1125 Å, α = 90.00°, β = 90.00° and γ = 90.00°. The asymmetric unit holds La at (0.0000, 0.5000, 0.0000), Ce at (0.0000, 0.0000, 0.5000) and Sm at (0.5000, 0.5000, 0.5000).

The formation energy from the elements comes out at 7.5 kJ/mol of atoms. Its density of states at the Fermi level is 9.15 states/eV/cell. As for the energy above the most stable polymorph in this dataset: 23 meV per atom. The value obtained for the total DFT energy (no corrections) is -5.050 eV per atom.

=====

Entry 6:
LiRh3Pb2O8 | PBE | optimized geometry

It has space group R3m (No. 160, hexagonal axes), with a = 6.2732 Å, b = 6.2732 Å, c = 17.4326 Å, α = 90.00°, β = 90.00° and γ = 120.00°. The asymmetric unit holds Li at (0.0000, 0.0000, 0.0000), Rh at (0.0039, 0.5020, 0.9301), Pb at (0.0000, 0.0000, 0.4269), Pb at (0.0000, 0.0000, 0.8002), O at (0.0000, 0.0000, 0.2041), O at (0.0000, 0.0000, 0.6533), O at (0.0344, 0.5172, 0.1995) and O at (0.1810, 0.3620, 0.9928).

The energy relative to the elements, uncorrected comes out at -0.989 eV/atom. Its density of states at the Fermi level is 14.03 states/eV/cell. The value obtained for the total DFT energy (no corrections) is -6.064 eV per atom.

=====

Entry 7:
Ac4Ag5Ge2 | PBE | optimized geometry

It has space group P2/m (No. 10), with a = 7.6470 Å, b = 4.5215 Å, c = 8.9082 Å, α = 90.00°, β = 92.23° and γ = 90.00°. The asymmetric unit holds Ac at (0.2189, 0.0000, 0.3626), Ac at (0.2447, 0.0000, 0.9018), Ag at (0.1427, 0.5000, 0.6253), Ag at (0.4406, 0.5000, 0.1553), Ag at (0.5000, 0.5000, 0.5000) and Ge at (0.0719, 0.5000, 0.1319).

The formation energy from the elements comes out at -35.6 kJ/mol of atoms. Its density of states at the Fermi level is 9.01 states/eV/cell. The value obtained for the total DFT energy (no corrections) is -3.999 eV per atom.

=====

Entry 8:
ThMgSb3 | PBE | optimized geometry

It has space group Pbcm (No. 57), with a = 13.7752 Å, b = 6.3200 Å, c = 6.2954 Å, α = 90.00°, β = 90.00° and γ = 90.00°. The asymmetric unit holds Th at (0.1813, 0.0016, 0.2500), Mg at (0.4026, 0.7500, 0.0000), Sb at (0.9998, 0.2500, 0.0000), Sb at (0.2422, 0.5054, 0.2500) and Sb at (0.4181, 0.1444, 0.2500).

The energy relative to the elements, uncorrected comes out at -0.500 eV/atom. Its density of states at the Fermi level is 9.04 states/eV/cell. The value obtained for the total DFT energy (no corrections) is -4.777 eV per atom.

=====

Entry 9:
Ag2OsPb | PBE | optimized geometry

It has space group Pmmm (No. 47), with a = 2.9035 Å, b = 4.5103 Å, c = 5.7869 Å, α = 90.00°, β = 90.00° and γ = 90.00°. The asymmetric unit holds Ag at (0.0000, 0.0000, 0.2304), Os at (0.5000, 0.5000, 0.0000) and Pb at (0.5000, 0.5000, 0.5000).

The formation energy from the elements comes out at 72.2 kJ/mol of atoms. Its density of states at the Fermi level is 3.12 states/eV/cell. The value obtained for the total DFT energy (no corrections) is -4.412 eV per atom.

=====

Entry 10:
MnNiSb2I | PBE | optimized geometry

It has space group P4/mmm (No. 123), with a = 4.9389 Å, b = 4.9389 Å, c = 5.4816 Å, α = 90.00°, β = 90.00° and γ = 90.00°. The asymmetric unit holds Mn at (0.0000, 0.0000, 0.0000), Ni at (0.5000, 0.5000, 0.5000), Sb at (0.0000, 0.5000, 0.5000) and I at (0.5000, 0.5000, 0.0000).

The energy relative to the elements, uncorrected comes out at 0.608 eV/atom. Its density of states at the Fermi level is 4.11 states/eV/cell. As for the energy above the most stable polymorph in this dataset: 0 meV per atom. The value obtained for the total DFT energy (no corrections) is -4.341 eV per atom.